No. 1
# MnPtSe2

MnPtSe2 after structural relaxation (PBE, the Alexandria database).

Lattice parameters (Å, degrees): 3.6907 7.2304 6.8928 90.00 90.00 90.00
With the nearest neighbours (Å) after each atom.
Space group Cmmm (No. 65)
One atom of each set of equivalent atoms:
Mn 0.0000 0.0000 0.0000 [2 per cell]  4 Se 2.56
Pt 0.0000 0.0000 0.5000 [2 per cell]  4 Se 2.49
Se 0.0000 0.5000 0.2577 [4 per cell]  2 Pt 2.49, 2 Mn 2.56

**Final energy**: -5.4211 eV/atom
**E above lowest polymorph**: 455 meV/atom
**ΔE_f (raw)**: 0.5 eV per formula unit

=====

No. 2
# MnPtSe4

MnPtSe4 after structural relaxation (PBE, the Alexandria database).

Lattice parameters (Å, degrees): 7.8936 7.8936 7.8936 90.00 90.00 90.00
With the nearest neighbours (Å) after each atom.
Space group F-43m (No. 216)
One atom of each set of equivalent atoms:
Mn 0.0000 0.0000 0.0000 [4 per cell]  12 Se 3.28, 4 Pt 3.42
Pt 0.2500 0.2500 0.7500 [4 per cell]  12 Se 3.27, 4 Mn 3.42
Se 0.1239 0.1239 0.3761 [16 per cell]  6 Se 2.77-2.82

**Final energy**: -4.0228 eV/atom
**E above lowest polymorph**: 1237 meV/atom
**ΔE_f (raw)**: 5.0 eV per formula unit

=====

No. 3
# MnPtSe2

MnPtSe2 after structural relaxation (PBE, the Alexandria database).

Lattice parameters (Å, degrees): 3.5624 3.5729 7.2442 90.00 90.00 90.00
With the nearest neighbours (Å) after each atom.
Space group Pmmm (No. 47)
One atom of each set of equivalent atoms:
Mn 0.0000 0.0000 0.0000 [1 per cell]  4 Se 2.52
Pt 0.5000 0.0000 0.5000 [1 per cell]  4 Se 2.52
Se 0.0000 0.5000 0.5000 [1 per cell]  4 Pt 2.52
Se 0.5000 0.5000 0.0000 [1 per cell]  4 Mn 2.52

**Final energy**: -5.4480 eV/atom
**E above lowest polymorph**: 428 meV/atom
**ΔE_f (raw)**: 0.4 eV per formula unit

=====

No. 4
# MnPtSe2

MnPtSe2 after structural relaxation (PBE, the Alexandria database).

Lattice parameters (Å, degrees): 3.5028 3.5028 6.5020 90.00 90.00 90.00
With the nearest neighbours (Å) after each atom.
Space group P4mm (No. 99)
One atom of each set of equivalent atoms:
Mn 0.0000 0.0000 0.0000 [1 per cell]  5 Se 2.41-2.69
Pt 0.5000 0.5000 0.2237 [1 per cell]  5 Se 2.50-2.65
Se 0.0000 0.0000 0.3702 [1 per cell]  1 Mn 2.41, 4 Pt 2.65
Se 0.5000 0.5000 0.8399 [1 per cell]  1 Pt 2.50, 4 Mn 2.69

**Final energy**: -5.7465 eV/atom
**E above lowest polymorph**: 129 meV/atom
**ΔE_f (raw)**: -0.8 eV per formula unit

=====

No. 5
# MnPtSe2

MnPtSe2 after structural relaxation (PBE, the Alexandria database).

Lattice parameters (Å, degrees): 6.4839 6.4839 6.4839 90.00 90.00 90.00
With the nearest neighbours (Å) after each atom.
Space group Fm-3m (No. 225)
One atom of each set of equivalent atoms:
Mn 0.0000 0.0000 0.0000 [4 per cell]  8 Se 2.81
Pt 0.0000 0.0000 0.5000 [4 per cell]  8 Se 2.81
Se 0.2500 0.2500 0.2500 [8 per cell]  4 Mn 2.81, 4 Pt 2.81

**Final energy**: -5.4404 eV/atom
**E above lowest polymorph**: 436 meV/atom
**ΔE_f (raw)**: 0.4 eV per formula unit

=====

No. 6
# MnPtSe2

MnPtSe2 after structural relaxation (PBE, the Alexandria database).

Lattice parameters (Å, degrees): 3.3393 3.3393 23.3137 90.00 90.00 120.00
With the nearest neighbours (Å) after each atom.
Space group R-3m (No. 166, hexagonal axes)
One atom of each set of equivalent atoms:
Mn 0.0000 0.0000 0.0000 [3 per cell]  6 Se 2.43
Pt 0.0000 0.0000 0.5000 [3 per cell]  2 Se 2.41
Se 0.0000 0.0000 0.3968 [6 per cell]  1 Pt 2.41, 3 Mn 2.43

**Final energy**: -5.6862 eV/atom
**E above lowest polymorph**: 190 meV/atom
**ΔE_f (raw)**: -0.6 eV per formula unit

=====

No. 7
# MnPtSe2

MnPtSe2 after structural relaxation (PBE, the Alexandria database).

Lattice parameters (Å, degrees): 6.5598 6.5598 6.5598 90.00 90.00 90.00
With the nearest neighbours (Å) after each atom.
Space group F-43m (No. 216)
One atom of each set of equivalent atoms:
Mn 0.0000 0.0000 0.0000 [4 per cell]  4 Se 2.84, 4 Pt 2.84
Pt 0.2500 0.2500 0.2500 [4 per cell]  4 Mn 2.84, 4 Se 2.84
Se 0.0000 0.0000 0.5000 [4 per cell]  4 Se 2.84, 4 Pt 2.84
Se 0.2500 0.2500 0.7500 [4 per cell]  4 Mn 2.84, 4 Se 2.84

**Final energy**: -5.2225 eV/atom
**E above lowest polymorph**: 653 meV/atom
**ΔE_f (raw)**: 1.3 eV per formula unit

=====

No. 8
# MnPtSe2

MnPtSe2 after structural relaxation (PBE, the Alexandria database).

Lattice parameters (Å, degrees): 3.8268 3.8268 19.9166 90.00 90.00 120.00
With the nearest neighbours (Å) after each atom.
Space group R3m (No. 160, hexagonal axes)
One atom of each set of equivalent atoms:
Mn 0.0000 0.0000 0.0000 [3 per cell]  3 Se 2.50, 3 Pt 2.66
Pt 0.0000 0.0000 0.2589 [3 per cell]  3 Se 2.46, 3 Mn 2.66
Se 0.0000 0.0000 0.5383 [3 per cell]  3 Pt 2.46
Se 0.0000 0.0000 0.7255 [3 per cell]  3 Mn 2.50

**Final energy**: -5.7839 eV/atom
**E above lowest polymorph**: 92 meV/atom
**ΔE_f (raw)**: -1.0 eV per formula unit